A plane-wave DFT calculation with PBE was carried out for a relaxed SrSc2Cl crystal.

Computed properties:
E_form (uncorrected): -0.577 eV per atom
DFT total energy: -4.625 eV/atom
M_tot: 0.00 μB per formula unit
excess energy over the best structure of this formula in the dataset: 0.0 meV/atom

a b c (Å): 3.6032 3.6032 28.9507
angles (deg): 90.00 90.00 120.00
Space group R3m (No. 160, hexagonal axes)
Unique sites:
Sr 0.0000 0.0000 0.0000
Sc 0.0000 0.0000 0.2285
Sc 0.0000 0.0000 0.4796
Cl 0.0000 0.0000 0.7476


A plane-wave DFT calculation with PBE was carried out for a relaxed Pr2ZnGePt6 crystal.

Computed properties:
DFT total energy: -5.906 eV/atom
energy relative to the elements: -0.74 eV per atom
M_tot: 0.00 μB per formula unit

a b c (Å): 5.6633 5.6633 23.0519
angles (deg): 90.00 90.00 120.00
Space group R-3m (No. 166, hexagonal axes)
Unique sites:
Pr 0.0000 0.0000 0.2046
Zn 0.0000 0.0000 0.5000
Ge 0.0000 0.0000 0.0000
Pt 0.0075 0.5037 0.2538


A plane-wave DFT calculation with PBE was carried out for a relaxed PrThGaAu crystal.

Computed properties:
DFT total energy: -5.128 eV/atom
energy relative to the elements: -0.50 eV per atom
M_tot: 0.65 μB per formula unit

a b c (Å): 7.4682 7.4682 7.4682
angles (deg): 90.00 90.00 90.00
Space group F-43m (No. 216)
Unique sites:
Pr 0.0000 0.0000 0.0000
Th 0.0000 0.0000 0.5000
Ga 0.2500 0.2500 0.7500
Au 0.2500 0.2500 0.2500


A plane-wave DFT calculation with PBE was carried out for a relaxed LiNd2P3Pt12 crystal.

Computed properties:
DFT total energy: -6.046 eV/atom
energy relative to the elements: -0.48 eV per atom
M_tot: 0.00 μB per formula unit

a b c (Å): 8.2791 8.2791 17.5208
angles (deg): 90.00 90.00 120.00
Space group R-3m (No. 166, hexagonal axes)
Unique sites:
Li 0.0000 0.0000 0.0000
Nd 0.0000 0.0000 0.3850
P 0.0000 0.5000 0.5000
Pt 0.0083 0.5042 0.6288
Pt 0.0360 0.5180 0.8608


A plane-wave DFT calculation with PBE was carried out for a relaxed LaDy2Al9 crystal.

Computed properties:
DFT total energy: -4.393 eV/atom
energy relative to the elements: -0.41 eV per atom
M_tot: 0.00 μB per formula unit

a b c (Å): 5.6255 5.6255 26.3726
angles (deg): 90.00 90.00 120.00
Space group R-3m (No. 166, hexagonal axes)
Unique sites:
La 0.0000 0.0000 0.0000
Dy 0.0000 0.0000 0.1415
Al 0.0000 0.0000 0.3357
Al 0.0000 0.0000 0.5000
Al 0.0076 0.5038 0.9159


A plane-wave DFT calculation with PBE was carried out for a relaxed TlV2H2 crystal.

Computed properties:
DFT total energy: -5.403 eV/atom
M_tot: 0.00 μB per formula unit

a b c (Å): 3.4049 3.4049 9.4291
angles (deg): 90.00 90.00 90.00
Space group I4/mmm (No. 139)
Unique sites:
Tl 0.0000 0.0000 0.0000
V 0.0000 0.0000 0.3198
H 0.0000 0.5000 0.2500


A plane-wave DFT calculation with PBE was carried out for a relaxed ZrTlInCl6 crystal.

Computed properties:
E_form (uncorrected): -1.444 eV per atom
DFT total energy: -4.192 eV/atom
M_tot: 0.00 μB per formula unit

a b c (Å): 7.6036 7.6036 12.4995
angles (deg): 90.00 90.00 120.00
Space group P-31c (No. 163)
Unique sites:
Zr 0.3333 0.6667 0.2500
Tl 0.0000 0.0000 0.0000
In 0.3333 0.6667 0.7500
Cl 0.0638 0.3983 0.1351


A plane-wave DFT calculation with PBE was carried out for a relaxed BaUAs2 crystal.

Computed properties:
DFT total energy: -6.348 eV/atom
energy relative to the elements: -0.72 eV per atom
M_tot: 1.92 μB per formula unit
excess energy over the best structure of this formula in the dataset: 177.9 meV/atom

a b c (Å): 3.6575 3.6575 7.7491
angles (deg): 90.00 90.00 90.00
Space group P4/mmm (No. 123)
Unique sites:
Ba 0.0000 0.0000 0.0000
U 0.0000 0.0000 0.5000
As 0.5000 0.5000 0.2922


A plane-wave DFT calculation with PBE was carried out for a relaxed NaSr2Cl6 crystal.

Computed properties:
E_form (uncorrected): -1.913 eV per atom
DFT total energy: -3.664 eV/atom
M_tot: 1.06 μB per formula unit

a b c (Å): 6.9894 7.7728 11.0726
angles (deg): 90.00 123.68 90.00
Space group P2_1/c (No. 14)
Unique sites:
Na 0.0000 0.0000 0.0000
Sr 0.2990 0.1238 0.7607
Cl 0.0985 0.0467 0.2693
Cl 0.2298 0.6751 0.0579
Cl 0.3933 0.1621 0.0718


A plane-wave DFT calculation with PBE was carried out for a relaxed YZn2Os crystal.

Computed properties:
DFT total energy: -4.992 eV/atom
energy relative to the elements: 0.07 eV per atom
M_tot: 0.00 μB per formula unit
excess energy over the best structure of this formula in the dataset: 192.8 meV/atom

a b c (Å): 4.0040 3.2127 11.0496
angles (deg): 90.00 90.00 90.00
Space group Amm2 (No. 38)
Unique sites:
Y 0.0000 0.0000 0.0000
Zn 0.0000 0.0000 0.7562
Zn 0.5000 0.0000 0.6365
Os 0.5000 0.0000 0.3478


A plane-wave DFT calculation with PBE was carried out for a relaxed TbPrTlRh crystal.

Computed properties:
DFT total energy: -5.193 eV/atom
energy relative to the elements: -0.41 eV per atom
M_tot: 0.00 μB per formula unit
excess energy over the best structure of this formula in the dataset: 131.9 meV/atom

a b c (Å): 7.3983 7.3983 7.3983
angles (deg): 90.00 90.00 90.00
Space group F-43m (No. 216)
Unique sites:
Tb 0.0000 0.0000 0.0000
Pr 0.0000 0.0000 0.5000
Tl 0.2500 0.2500 0.7500
Rh 0.2500 0.2500 0.2500


A plane-wave DFT calculation with PBE was carried out for a relaxed Co6ReMo crystal.

Computed properties:
DFT total energy: -8.197 eV/atom
energy relative to the elements: 0.04 eV per atom
M_tot: 0.52 μB per formula unit
excess energy over the best structure of this formula in the dataset: 0.0 meV/atom

a b c (Å): 7.1799 10.1347 10.1231
angles (deg): 90.00 90.00 90.00
Space group Cmmm (No. 65)
Unique sites:
Co 0.0000 0.0000 0.0000
Co 0.0000 0.0000 0.5000
Co 0.0000 0.2485 0.2478
Co 0.0000 0.5000 0.0000
Co 0.0000 0.5000 0.5000
Co 0.2481 0.1245 0.3736
Co 0.2479 0.1259 0.1238
Re 0.0000 0.0000 0.2517
Re 0.0000 0.2523 0.0000
Mo 0.0000 0.2517 0.5000
Mo 0.0000 0.5000 0.2517


- M_tot of number 4 (LiNd2P3Pt12)?
  0.00 μB per formula unit